[1]
The following is a PBE calculation of a relaxed structure of HfHgPd, from OQMD.

Magnetization   0.7 μB per formula unit
Mass density   12.377 g cm⁻³
ΔH_f (0 K)   -174 meV/atom

Cell lengths 6.3870, 6.3870, 6.3870 Å; angles 90.00, 90.00, 90.00 degrees
Element x y z (fractional)
1 Hf 0.0000 0.0000 0.0000
2 Hf 0.0000 0.5000 0.5000
3 Hf 0.5000 0.0000 0.5000
4 Hf 0.5000 0.5000 0.0000
5 Hg 0.0000 0.0000 0.5000
6 Hg 0.0000 0.5000 0.0000
7 Hg 0.5000 0.0000 0.0000
8 Hg 0.5000 0.5000 0.5000
9 Pd 0.2500 0.2500 0.2500
10 Pd 0.2500 0.7500 0.7500
11 Pd 0.7500 0.2500 0.7500
12 Pd 0.7500 0.7500 0.2500


[2]
The following is a PBE calculation of a relaxed structure of DyReNO, from OQMD.

Magnetization   0.0 μB per formula unit
ΔE to the lowest computed polymorph   0.292 eV per atom
Mass density   12.533 g cm⁻³

Cell lengths 3.8397, 5.3125, 4.9198 Å; angles 90.00, 90.00, 90.00 degrees
Element x y z (fractional)
1 Dy 0.0000 0.2075 0.0000
2 Dy 0.0000 0.7925 0.5000
3 Re 0.5000 0.3433 0.4989
4 Re 0.5000 0.6567 0.9989
5 N 0.0000 0.3313 0.4986
6 N 0.0000 0.6687 0.9986
7 O 0.5000 0.0074 0.7598
8 O 0.5000 0.9926 0.2598


[3]
The following is a PBE calculation of a relaxed structure of ScZnNiSn, from OQMD.

Magnetization   0.0 μB per formula unit
ΔE to the lowest computed polymorph   0.152 eV per atom
Mass density   6.919 g cm⁻³

Cell lengths 6.5127, 6.5127, 6.5127 Å; angles 90.00, 90.00, 90.00 degrees
Element x y z (fractional)
1 Sc 0.0000 0.0000 0.0000
2 Sc 0.0000 0.5000 0.5000
3 Sc 0.5000 0.0000 0.5000
4 Sc 0.5000 0.5000 0.0000
5 Zn 0.0000 0.0000 0.5000
6 Zn 0.0000 0.5000 0.0000
7 Zn 0.5000 0.0000 0.0000
8 Zn 0.5000 0.5000 0.5000
9 Ni 0.2500 0.2500 0.2500
10 Ni 0.2500 0.7500 0.7500
11 Ni 0.7500 0.2500 0.7500
12 Ni 0.7500 0.7500 0.2500
13 Sn 0.2500 0.2500 0.7500
14 Sn 0.2500 0.7500 0.2500
15 Sn 0.7500 0.2500 0.2500
16 Sn 0.7500 0.7500 0.7500


[4]
The following is a PBE calculation of a relaxed structure of GeB2Au2, from OQMD.

ΔE to the lowest computed polymorph   0.000 eV per atom
Mass density   11.410 g cm⁻³

Cell lengths 4.1674, 4.1674, 8.1818 Å; angles 90.00, 90.00, 90.00 degrees
Element x y z (fractional)
1 Ge 0.0000 0.0000 0.0000
2 Ge 0.5000 0.5000 0.5000
3 B 0.0000 0.0000 0.3984
4 B 0.0000 0.0000 0.6016
5 B 0.5000 0.5000 0.1016
6 B 0.5000 0.5000 0.8984
7 Au 0.0000 0.5000 0.2500
8 Au 0.0000 0.5000 0.7500
9 Au 0.5000 0.0000 0.2500
10 Au 0.5000 0.0000 0.7500


[5]
The following is a PBE calculation of a relaxed structure of GdTmGe2Pt4, from OQMD.

Magnetization   0.0 μB per formula unit
ΔE to the lowest computed polymorph   0.000 eV per atom
Mass density   14.238 g cm⁻³

Cell lengths 7.1949, 3.9324, 10.3202 Å; angles 90.00, 90.00, 90.00 degrees
Element x y z (fractional)
1 Gd 0.0000 0.0000 0.0000
2 Gd 0.0000 0.5000 0.5000
3 Tm 0.5000 0.0000 0.8969
4 Tm 0.5000 0.5000 0.3969
5 Ge 0.0000 0.0000 0.7163
6 Ge 0.0000 0.5000 0.2163
7 Ge 0.5000 0.0000 0.1800
8 Ge 0.5000 0.5000 0.6800
9 Pt 0.2015 0.0000 0.3117
10 Pt 0.2015 0.5000 0.8117
11 Pt 0.3020 0.0000 0.5836
12 Pt 0.3020 0.5000 0.0836
13 Pt 0.6980 0.0000 0.5836
14 Pt 0.6980 0.5000 0.0836
15 Pt 0.7985 0.0000 0.3117
16 Pt 0.7985 0.5000 0.8117


[6]
The following is a PBE calculation of a relaxed structure of InAgPdO3, from OQMD.

Mass density   7.338 g cm⁻³
E_tot   -4.846 eV/atom

Cell lengths 11.2435, 3.0489, 9.9581 Å; angles 90.00, 90.00, 90.00 degrees
Element x y z (fractional)
1 In 0.2272 0.2500 0.0655
2 In 0.2728 0.7500 0.5655
3 In 0.7272 0.2500 0.4345
4 In 0.7728 0.7500 0.9345
5 Ag 0.0410 0.7500 0.3789
6 Ag 0.4590 0.2500 0.8789
7 Ag 0.5410 0.7500 0.1211
8 Ag 0.9590 0.2500 0.6211
9 Pd 0.0307 0.7500 0.8568
10 Pd 0.4693 0.2500 0.3568
11 Pd 0.5307 0.7500 0.6432
12 Pd 0.9693 0.2500 0.1432
13 O 0.1096 0.7500 0.1571
14 O 0.1481 0.2500 0.8654
15 O 0.1501 0.2500 0.5346
16 O 0.3499 0.7500 0.0346
17 O 0.3519 0.7500 0.3654
18 O 0.3904 0.2500 0.6571
19 O 0.6096 0.7500 0.3429
20 O 0.6481 0.2500 0.6346
21 O 0.6501 0.2500 0.9654
22 O 0.8499 0.7500 0.4654
23 O 0.8519 0.7500 0.1346
24 O 0.8904 0.2500 0.8429


[7]
The following is a PBE calculation of a relaxed structure of ErPaIn, from OQMD.

Magnetization   1.3 μB per formula unit
ΔE to the lowest computed polymorph   0.000 eV per atom
Mass density   9.074 g cm⁻³

Cell lengths 7.2150, 7.2150, 7.2150 Å; angles 90.00, 90.00, 90.00 degrees
Element x y z (fractional)
1 Er 0.0000 0.0000 0.0000
2 Er 0.0000 0.5000 0.5000
3 Er 0.5000 0.0000 0.5000
4 Er 0.5000 0.5000 0.0000
5 Pa 0.0000 0.0000 0.5000
6 Pa 0.0000 0.5000 0.0000
7 Pa 0.5000 0.0000 0.0000
8 Pa 0.5000 0.5000 0.5000
9 In 0.2500 0.2500 0.2500
10 In 0.2500 0.7500 0.7500
11 In 0.7500 0.2500 0.7500
12 In 0.7500 0.7500 0.2500


[8]
The following is a PBE calculation of a relaxed structure of KCdPbAu, from OQMD.

ΔE to the lowest computed polymorph   0.079 eV per atom
Mass density   8.707 g cm⁻³

Cell lengths 7.5121, 7.5121, 7.5121 Å; angles 90.00, 90.00, 90.00 degrees
Element x y z (fractional)
1 K 0.0000 0.0000 0.0000
2 K 0.0000 0.5000 0.5000
3 K 0.5000 0.0000 0.5000
4 K 0.5000 0.5000 0.0000
5 Cd 0.0000 0.0000 0.5000
6 Cd 0.0000 0.5000 0.0000
7 Cd 0.5000 0.0000 0.0000
8 Cd 0.5000 0.5000 0.5000
9 Pb 0.2500 0.2500 0.7500
10 Pb 0.2500 0.7500 0.2500
11 Pb 0.7500 0.2500 0.2500
12 Pb 0.7500 0.7500 0.7500
13 Au 0.2500 0.2500 0.2500
14 Au 0.2500 0.7500 0.7500
15 Au 0.7500 0.2500 0.7500
16 Au 0.7500 0.7500 0.2500